Computed, not measured: an optimized crystal structure of NiWN2F at the GGA+U level of DFT.

E   -27.07 eV/cell
Energy relative to the lowest polymorph listed for this composition   0.000 eV/atom
SG   P4/mmm

Lattice parameters (Å, degrees): 4.0069 4.0069 4.0693 90.00 90.00 90.00
Last column: magnetic moment on the atom in μB.
Sites, in units of the cell vectors:
Ni  0.5000  0.5000  0.5000  -1.49
N  0.0000  0.5000  0.0000  0.16
N  0.5000  0.0000  0.0000  0.16
W  0.0000  0.0000  0.0000  -1.13
F  0.0000  0.0000  0.5000  -0.03